## K3Ho3RuO8 (PBE)

Data for an optimized crystal structure of K3Ho3RuO8.

Summary:
- space-group type = R-3m, No. 166

Geometry as extended XYZ:
```
15
Lattice="6.727 0.000 0.000 -3.364 5.827 -0.021 0.000 -3.862 6.290" Properties=species:S:1:pos:R:3 pbc="T T T"
O 5.175 -1.038 2.053
O -1.811 3.004 4.215
O 3.364 0.016 4.283
O 0.000 1.950 1.986
O 3.364 2.098 2.041
O 0.000 -0.133 4.228
O 1.811 3.004 4.215
O 1.553 -1.038 2.053
Ho -1.682 0.983 3.134
Ho 3.364 -1.931 3.145
Ho 1.682 0.983 3.134
K -1.682 2.913 -0.011
K 0.000 0.000 0.000
K 1.682 2.913 -0.011
Ru 0.000 -1.931 3.145
```



## CeTi3Se6 (PBE)

Data for an optimized crystal structure of CeTi3Se6.

Summary:
- space-group type = P2_1/m, No. 11

Geometry as extended XYZ:
```
20
Lattice="-1.235 -3.422 1.055 -1.192 -2.776 -10.404 10.253 -2.687 3.294" Properties=species:S:1:pos:R:3 pbc="T T T"
Ti 3.469 -5.807 -4.574
Ti 7.353 -6.122 -1.046
Ti 0.474 -2.763 -5.009
Ti 8.086 -5.715 -5.671
Ti 4.357 -3.078 -1.481
Ti -0.260 -3.169 -0.384
Se 4.116 -4.687 -6.985
Se -0.747 -3.788 -2.963
Se 0.980 -5.273 -5.758
Se 8.956 -3.576 2.288
Se 8.574 -5.097 -3.092
Se 4.831 -5.562 -2.185
Se 6.846 -3.612 -0.297
Se 5.858 -6.802 -5.004
Se 2.995 -3.322 -3.870
Se 1.968 -2.083 -1.051
Se -1.129 -5.308 -8.343
Se 3.710 -4.198 0.930
Ce 1.596 -4.274 -8.598
Ce 6.231 -4.610 2.543
```



Number 1: raw total energy -6.80 eV/atom, ΔE_f (raw) -2.399 eV per atom, density of states at the Fermi level 6.2 states/eV/f.u.. Number 2: raw total energy -6.31 eV/atom, ΔE_f (raw) -1.256 eV per atom, density of states at the Fermi level 9.6 states/eV/f.u..